Record 1
First-principles (PBE) data for a relaxed structure of HgAs2I8, as listed in Alexandria.

Summary:
**Magnetization**: 0.00 μB/f.u.
**Space-group type**: C2/m (12)
**Uncorrected energy**: -23.86 eV for the cell shown
**Energy relative to the elements, uncorrected**: -0.169 eV/atom

a b c (Å): 9.5456 8.6486 8.6486
angles (deg): 96.31 107.64 107.64
With the nearest neighbours (Å) after each atom.
Fractional coordinates of all 11 atoms:
I  0.7327  0.4522  0.4522  1 As 2.59
I  0.2673  0.5478  0.5478  1 As 2.59
I  0.7293  0.7865  0.7865  1 Hg 2.64
I  0.8109  0.3428  0.0256  1 As 2.61
I  0.1891  0.9744  0.6572  1 As 2.61
I  0.8109  0.0256  0.3428  1 As 2.61
I  0.1891  0.6572  0.9744  1 As 2.61
I  0.2707  0.2135  0.2135  1 Hg 2.64
Hg  0.0000  0.0000  0.0000  2 I 2.64
As  0.6537  0.2057  0.2057  3 I 2.59-2.61
As  0.3463  0.7943  0.7943  3 I 2.59-2.61


Record 2
First-principles (PBE) data for a relaxed structure of NdDy2Ga3, as listed in Alexandria.

Summary:
**Magnetization**: 0.00 μB/f.u.
**Energy relative to the elements**: -0.32 eV per atom
**Space-group type**: Cmmm (65)
**Uncorrected energy**: -49.94 eV for the cell shown

a b c (Å): 6.0843 9.6285 7.7868
angles (deg): 128.19 113.00 90.00
With the nearest neighbours (Å) after each atom.
Fractional coordinates of all 12 atoms:
Dy  0.8340  0.0840  0.1679  6 Ga 2.98
Dy  0.1660  0.9160  0.8321  6 Ga 2.98
Dy  0.8339  0.5840  0.1679  6 Ga 2.98
Dy  0.1661  0.4160  0.8321  6 Ga 2.98
Ga  0.0000  0.5000  0.5000  4 Dy 2.98, 4 Ga 3.06
Ga  0.0000  0.0000  0.5000  4 Dy 2.98, 4 Ga 3.06
Ga  0.0000  0.7499  0.0000  4 Dy 2.98, 4 Ga 3.04-3.06
Ga  0.0000  0.2501  0.0000  4 Dy 2.98, 4 Ga 3.04-3.06
Ga  0.5000  0.7501  0.0000  4 Dy 2.98, 4 Ga 3.04-3.06
Ga  0.5000  0.2499  0.0000  4 Dy 2.98, 4 Ga 3.04-3.06
Nd  0.4999  0.2500  0.5000  6 Dy 3.52-3.55, 12 Ga 3.88-3.89
Nd  0.5001  0.7500  0.5000  6 Dy 3.52-3.55, 12 Ga 3.88-3.89


Record 3
First-principles (PBE) data for a relaxed structure of HgTeMo2, as listed in Alexandria.

Summary:
**Magnetization**: 0.06 μB/f.u.
**Space-group type**: F-43m (216)
**Uncorrected energy**: -21.96 eV for the cell shown
**Energy relative to the elements, uncorrected**: 0.786 eV/atom

a b c (Å): 4.7818 4.7818 4.7818
angles (deg): 60.00 60.00 60.00
With the nearest neighbours (Å) after each atom.
Fractional coordinates of all 4 atoms:
Mo  0.0000  0.0000  0.0000  4 Mo 2.93, 4 Te 2.93
Mo  0.2500  0.2500  0.2500  4 Hg 2.93, 4 Mo 2.93
Te  0.7500  0.7500  0.7500  4 Hg 2.93, 4 Mo 2.93
Hg  0.5000  0.5000  0.5000  4 Te 2.93, 4 Mo 2.93


Record 4
First-principles (PBE) data for a relaxed structure of ZrNiCl2, as listed in Alexandria.

Summary:
**Magnetization**: 0.00 μB/f.u.
**Space-group type**: P4mm (99)
**Uncorrected energy**: -21.22 eV for the cell shown
**Energy relative to the elements, uncorrected**: -0.799 eV/atom

a b c (Å): 3.2744 3.2744 7.9275
angles (deg): 90.00 90.00 90.00
With the nearest neighbours (Å) after each atom.
Fractional coordinates of all 4 atoms:
Ni  0.0000  0.0000  0.5222  4 Cl 2.62, 4 Zr 2.67
Cl  0.0000  0.0000  0.9203  4 Zr 2.94, 1 Ni 3.16, 4 Cl 3.27
Cl  0.5000  0.5000  0.3666  1 Zr 2.57, 4 Ni 2.62
Zr  0.5000  0.5000  0.6910  1 Cl 2.57, 4 Ni 2.67


Record 5
First-principles (PBE) data for a relaxed structure of MnSbRu2, as listed in Alexandria.

Summary:
**Magnetization**: 3.07 μB/f.u.
**Space-group type**: Cm (8)
**Uncorrected energy**: -31.56 eV for the cell shown
**Energy relative to the elements, uncorrected**: 0.071 eV/atom

a b c (Å): 4.9349 4.9349 4.4988
angles (deg): 73.47 73.47 36.48
With the nearest neighbours (Å) after each atom.
Fractional coordinates of all 4 atoms:
Ru  0.9926  0.9926  0.0737  3 Mn 2.64, 4 Sb 2.68-2.78
Ru  0.7541  0.7541  0.6879  3 Sb 2.63-2.68, 4 Mn 2.71-2.75
Sb  0.4987  0.4987  0.5553  7 Ru 2.63-2.78, 2 Mn 2.92
Mn  0.2545  0.2545  0.1832  7 Ru 2.64-2.75, 2 Sb 2.92


Record 6
First-principles (PBE) data for a relaxed structure of AsPS2, as listed in Alexandria.

Summary:
**Magnetization**: 0.00 μB/f.u.
**Space-group type**: Fm-3m (225)
**Uncorrected energy**: -15.68 eV for the cell shown
**Energy relative to the elements, uncorrected**: 0.657 eV/atom

a b c (Å): 4.5167 4.5167 4.5167
angles (deg): 60.00 60.00 60.00
With the nearest neighbours (Å) after each atom.
Fractional coordinates of all 4 atoms:
S  0.7500  0.7500  0.7500  4 As 2.77, 4 P 2.77
S  0.2500  0.2500  0.2500  4 As 2.77, 4 P 2.77
As  0.5000  0.5000  0.5000  8 S 2.77
P  0.0000  0.0000  0.0000  8 S 2.77